1.
CoMo2Os: optimized geometry, PBE.

Cell: 3.776 3.776 9.089 Å, 78.01 78.01 90.00°
Fractional coordinates of all 8 atoms:
Os 0.750 0.250 0.500
Os 0.000 0.000 0.000
Mo 0.875 0.858 0.750
Mo 0.142 0.625 0.250
Mo 0.375 0.392 0.750
Mo 0.608 0.125 0.250
Co 0.500 0.500 0.000
Co 0.250 0.750 0.500

Summary:
Energy relative to the lowest polymorph listed for this composition (meV per atom): 751.7
Total magnetization (μB per atom): 0.000
Energy of formation (eV per atom): 0.787

---

2.
Co4MoOs: optimized geometry, PBE.

Cell: 4.642 4.642 4.642 Å, 60.00 60.00 60.00°
Each line ends with the local moment (μB).
Fractional coordinates of all 6 atoms:
Co 0.626 0.626 0.123  0.59
Co 0.123 0.626 0.626  0.59
Co 0.626 0.123 0.626  0.59
Co 0.626 0.626 0.626  0.59
Os 0.000 0.000 0.000  0.16
Mo 0.250 0.250 0.250  -0.15

Summary:
Total magnetization (μB per atom): 0.398
Energy of formation (eV per atom): 0.073